Record 1
# ZnCdAg2, PBEsol geometry, DFT meta-GGA SCAN
# Crystal system: tetragonal
# D(E_F): 0.9 states/eV/cell
# Total energy: -26.6717 eV per atom
data_ZnCdAg2
_symmetry_space_group_name_H-M 'P 4/m m m'
_symmetry_Int_Tables_number 123
_symmetry_space_group_name_Hall '-P 4 2'
_cell_length_a 4.5135
_cell_length_b 4.5135
_cell_length_c 3.2673
_cell_angle_alpha 90.00
_cell_angle_beta 90.00
_cell_angle_gamma 90.00
loop_
_atom_site_label
_atom_site_type_symbol
_atom_site_fract_x
_atom_site_fract_y
_atom_site_fract_z
Zn1 Zn 0.0000 0.0000 0.0000
Cd1 Cd 0.5000 0.5000 0.0000
Ag1 Ag 0.0000 0.5000 0.5000



Record 2
# ZnCdAg2, PBEsol geometry, DFT meta-GGA SCAN
# Crystal system: tetragonal
# D(E_F): 1.1 states/eV/cell
# Total energy: -26.7095 eV per atom
data_ZnCdAg2
_symmetry_space_group_name_H-M 'P 4/m m m'
_symmetry_Int_Tables_number 123
_symmetry_space_group_name_Hall '-P 4 2'
_cell_length_a 3.1300
_cell_length_b 3.1300
_cell_length_c 6.7481
_cell_angle_alpha 90.00
_cell_angle_beta 90.00
_cell_angle_gamma 90.00
loop_
_atom_site_label
_atom_site_type_symbol
_atom_site_fract_x
_atom_site_fract_y
_atom_site_fract_z
Zn1 Zn 0.0000 0.0000 0.0000
Cd1 Cd 0.0000 0.0000 0.5000
Ag1 Ag 0.5000 0.5000 0.2238



Question: Which formula does entry 2 have?
Answer: ZnCdAg2